# 1
Computed, not measured: a relaxed structure of Zr2MnOsRu at the PBE level of DFT.

a = 5.002 Å, b = 4.617 Å, c = 5.002 Å
α = 90.00°, β = 90.00°, γ = 90.00°
Site moments in Bohr magnetons follow the coordinates.
Positions (direct):
Mn 0.500 0.500 0.500  0.08
Zr 0.000 0.000 0.500  0.01
Ru 0.000 0.500 0.000  0.17
Zr 0.500 0.000 0.000  0.01
Os 0.000 0.000 0.000  0.00

## Properties
total DFT energy (no corrections)	-40.49	eV/f.u.
symmetry	P4/mmm, No. 123
formation energy	29.0	kcal/mol of atoms

=====

# 2
Computed, not measured: a relaxed structure of NaTl2AgSe2 at the PBE level of DFT.

a = 6.621 Å, b = 6.528 Å, c = 8.910 Å
α = 111.49°, β = 111.81°, γ = 90.00°
Positions (direct):
Tl 0.903 0.674 0.347
Se 0.373 0.609 0.218
Na 0.000 0.250 0.000
Tl 0.097 0.326 0.653
Se 0.845 0.109 0.218
Tl 0.444 0.174 0.347
Se 0.155 0.891 0.782
Se 0.627 0.391 0.782
Na 0.000 0.750 0.000
Ag 0.500 0.750 0.000
Tl 0.556 0.826 0.653
Ag 0.500 0.250 0.000

## Properties
total DFT energy (no corrections)	-18.65	eV/f.u.
symmetry	Ibam, No. 72
uncorrected formation energy	-44.6	kJ/mol of atoms

=====

# 3
Computed, not measured: a relaxed structure of TlSi2Se at the PBE level of DFT.

a = 3.663 Å, b = 3.663 Å, c = 6.874 Å
α = 90.00°, β = 90.00°, γ = 90.00°
Positions (direct):
Tl 0.500 0.500 0.250
Si 0.000 0.000 0.923
Se 0.500 0.500 0.750
Si 0.000 0.000 0.577

## Properties
ΔE to the lowest computed polymorph	245	meV per atom
total DFT energy (no corrections)	-15.14	eV/f.u.
symmetry	P4/mmm, No. 123
uncorrected formation energy	37.6	kJ/mol of atoms

=====

Please write out number 1 again, unchanged.
Computed, not measured: a relaxed structure of Zr2MnOsRu at the PBE level of DFT.

a = 5.002 Å, b = 4.617 Å, c = 5.002 Å
α = 90.00°, β = 90.00°, γ = 90.00°
Site moments in Bohr magnetons follow the coordinates.
Positions (direct):
Mn 0.500 0.500 0.500  0.08
Zr 0.000 0.000 0.500  0.01
Ru 0.000 0.500 0.000  0.17
Zr 0.500 0.000 0.000  0.01
Os 0.000 0.000 0.000  0.00

## Properties
total DFT energy (no corrections)	-40.49	eV/f.u.
symmetry	P4/mmm, No. 123
formation energy	29.0	kcal/mol of atoms

=====

> Number 1 is which compound?

Zr2MnOsRu

=====

> What is the formula in the second record?

NaTl2AgSe2

=====

> Among the records above, which one has the lowest total DFT energy (no corrections)?

Zr2MnOsRu